(1)
Density functional theory data (PBE) for a relaxed Nb3AlSb crystal.

Lattice parameters (Å, degrees): 5.0133 5.0133 5.0133 90.00 90.00 90.00
With the nearest neighbours (Å) after each atom.
Fractional positions:
Nb: 0.0000 0.0000 0.5000  2 Sb 2.51
Nb: 0.0000 0.5000 0.0000  2 Sb 2.51
Nb: 0.5000 0.0000 0.0000  2 Sb 2.51
Al: 0.5000 0.5000 0.5000  12 Nb 3.54
Sb: 0.0000 0.0000 0.0000  6 Nb 2.51

Space-group type ... Pm-3m
Calculated total energy ... -0.4551 Ry/atom
M_tot ... 0.000 μB per atom
Uncorrected formation energy ... 1.4225 eV per atom

---

(2)
Density functional theory data (PBE) for a relaxed Tl2TeSe crystal.

Lattice parameters (Å, degrees): 3.5333 3.5333 34.7588 90.00 90.00 120.00
With the nearest neighbours (Å) after each atom.
Fractional positions:
Tl: 0.0000 0.0000 0.2333  3 Se 3.09
Tl: 0.0000 0.0000 0.7667  3 Se 3.09
Tl: 0.3333 0.6667 0.4334  3 Se 3.09
Tl: 0.3333 0.6667 0.9000  3 Se 3.09
Tl: 0.6667 0.3333 0.1000  3 Se 3.09
Tl: 0.6667 0.3333 0.5666  3 Se 3.09
Te: 0.0000 0.0000 0.0000  6 Te 3.53
Te: 0.3333 0.6667 0.6667  6 Te 3.53
Te: 0.6667 0.3333 0.3333  6 Te 3.53
Se: 0.0000 0.0000 0.5000  6 Tl 3.09
Se: 0.3333 0.6667 0.1667  6 Tl 3.09
Se: 0.6667 0.3333 0.8333  6 Tl 3.09

Space-group type ... R-3m
Calculated total energy ... -0.2072 Ry/atom
M_tot ... 0.000 μB per atom
Uncorrected formation energy ... 0.0205 eV per atom

---

(3)
Density functional theory data (PBE) for a relaxed Ca2TcHgRh crystal.

Lattice parameters (Å, degrees): 5.5621 5.5621 4.9830 90.00 90.00 90.00
With the nearest neighbours (Å) after each atom.
Fractional positions:
Ca: 0.0000 0.5000 0.0000  2 Hg 2.78
Ca: 0.5000 0.0000 0.0000  2 Hg 2.78
Tc: 0.0000 0.0000 0.5000  8 Ca 3.73, 4 Rh 3.93
Hg: 0.5000 0.5000 0.0000  2 Rh 2.49, 4 Ca 2.78
Rh: 0.5000 0.5000 0.5000  2 Hg 2.49

Space-group type ... P4/mmm
Calculated total energy ... -0.2444 Ry/atom
M_tot ... 0.693 μB per atom

---

(4)
Density functional theory data (PBE) for a relaxed K5Cl crystal.

Lattice parameters (Å, degrees): 4.4873 23.5488 7.5009 90.00 90.00 90.00
With the nearest neighbours (Å) after each atom.
Fractional positions:
K: 0.0000 0.0000 0.0000  10 K 4.36-4.61, 4 Cl 4.37
K: 0.0000 0.0943 0.5000  2 Cl 3.16
K: 0.0000 0.3288 0.0000  10 K 4.34-4.73
K: 0.0000 0.6712 0.0000  10 K 4.34-4.73
K: 0.0000 0.9057 0.5000  2 Cl 3.16
K: 0.5000 0.1712 0.0000  10 K 4.34-4.73
K: 0.5000 0.4057 0.5000  2 Cl 3.16
K: 0.5000 0.5000 0.0000  10 K 4.36-4.61, 4 Cl 4.37
K: 0.5000 0.5943 0.5000  2 Cl 3.16
K: 0.5000 0.8288 0.0000  10 K 4.34-4.73
Cl: 0.0000 0.5000 0.5000  4 K 3.16
Cl: 0.5000 0.0000 0.5000  4 K 3.16

Space-group type ... Cmmm
Calculated total energy ... -0.1269 Ry/atom
M_tot ... 0.000 μB per atom
Uncorrected formation energy ... -0.5042 eV per atom

---

(5)
Density functional theory data (PBE) for a relaxed KBe2Ge crystal.

Lattice parameters (Å, degrees): 3.8138 4.9267 8.6602 90.00 102.18 90.00
With the nearest neighbours (Å) after each atom.
Fractional positions:
K: 0.1641 0.2500 0.3425  4 Ge 3.28, 3 Be 3.39-3.45
K: 0.8359 0.7500 0.6575  4 Ge 3.28, 3 Be 3.39-3.45
Be: 0.0273 0.7500 0.0574  4 Be 2.32, 2 Ge 2.36
Be: 0.5000 0.0000 0.0000  2 Ge 2.25, 6 Be 2.32-2.46
Be: 0.5000 0.5000 0.0000  2 Ge 2.25, 6 Be 2.32-2.46
Be: 0.9727 0.2500 0.9426  4 Be 2.32, 2 Ge 2.36
Ge: 0.3938 0.2500 0.7775  4 Be 2.25-2.36
Ge: 0.6062 0.7500 0.2225  4 Be 2.25-2.36

Space-group type ... P2_1/m
Calculated total energy ... -0.2329 Ry/atom
M_tot ... 0.000 μB per atom

---

(6)
Density functional theory data (PBE) for a relaxed Cu2BiH2 crystal.

Lattice parameters (Å, degrees): 3.2883 3.2883 13.3321 90.00 90.00 90.00
With the nearest neighbours (Å) after each atom.
Fractional positions:
Cu: 0.0000 0.0000 0.2049  4 H 1.75
Cu: 0.0000 0.0000 0.7951  4 H 1.75
Cu: 0.5000 0.5000 0.2951  4 H 1.75
Cu: 0.5000 0.5000 0.7049  4 H 1.75
Bi: 0.0000 0.0000 0.0000  2 Cu 2.73
Bi: 0.5000 0.5000 0.5000  2 Cu 2.73
H: 0.0000 0.5000 0.2500  4 Cu 1.75
H: 0.0000 0.5000 0.7500  4 Cu 1.75
H: 0.5000 0.0000 0.2500  4 Cu 1.75
H: 0.5000 0.0000 0.7500  4 Cu 1.75

Space-group type ... I4/mmm
Calculated total energy ... -0.2597 Ry/atom
M_tot ... 0.000 μB per atom